VASP calculation (PBE-GGA) on crystalline RbGaBi3 at its relaxed geometry.

Computed properties:
As for the space group: Pm-3m (221). The value obtained for the total magnetic moment is 0.0 μB/cell. As for the total energy: -14.9 eV per cell.

a = 5.6971 Å, b = 5.6971 Å, c = 5.6971 Å
α = 90.00°, β = 90.00°, γ = 90.00°
Fractional positions:
Rb1 0.5000 0.5000 0.5000
Bi1 0.0000 0.0000 0.5000
Bi2 0.0000 0.5000 0.0000
Bi3 0.5000 0.0000 0.0000
Ga1 0.0000 0.0000 0.0000